1.
Pr2Y5Sc | GGA-PBE | optimized geometry

Results
The magnetic moment comes out at 0.0001 μB/atom. As for the volume: 32.80 A^3/atom. The value obtained for the uncorrected energy is -5.904 eV per atom. Its density of states at the Fermi level is 59.0 states/eV per cell.

```
data_Pr2Y5Sc
_chemical_formula_sum 'Pr8 Y20 Sc4'
_space_group_name_H-M_alt 'C m c m'
_space_group_IT_number 63
_space_group_name_Hall '-C 2c 2'
_cell_length_a 5.599
_cell_length_b 11.963
_cell_length_c 15.669
_cell_angle_alpha 90.00
_cell_angle_beta 90.00
_cell_angle_gamma 90.00
loop_
_atom_site_label
_atom_site_type_symbol
_atom_site_fract_x
_atom_site_fract_y
_atom_site_fract_z
_atom_site_occupancy
Pr1 Pr 0.000 0.217 0.133 1
Y1 Y 0.000 0.081 0.596 1
Y2 Y 0.000 0.381 0.550 1
Y3 Y 0.000 0.464 0.250 1
Sc1 Sc 0.000 0.268 0.750 1
```


2.
Tb3Cu2Au | GGA-PBE | optimized geometry

Results
The magnetic moment comes out at 0.0000 μB/atom. As for the volume: 22.03 A^3/atom. The value obtained for the uncorrected energy is -4.668 eV per atom. Its density of states at the Fermi level is 3.0 states/eV per cell.

```
data_Tb3Cu2Au
_chemical_formula_sum 'Tb3 Cu2 Au1'
_space_group_name_H-M_alt 'P 4/m m m'
_space_group_IT_number 123
_space_group_name_Hall '-P 4 2'
_cell_length_a 3.528
_cell_length_b 3.528
_cell_length_c 10.623
_cell_angle_alpha 90.00
_cell_angle_beta 90.00
_cell_angle_gamma 90.00
loop_
_atom_site_label
_atom_site_type_symbol
_atom_site_fract_x
_atom_site_fract_y
_atom_site_fract_z
_atom_site_occupancy
Tb1 Tb 0.000 0.000 0.000 1
Tb2 Tb 0.000 0.000 0.326 1
Cu1 Cu 0.500 0.500 0.161 1
Au1 Au 0.500 0.500 0.500 1
```


3.
Np2Co3NiGe4 | GGA-PBE | optimized geometry

Results
The magnetic moment comes out at 0.7755 μB/atom. As for the volume: 15.89 A^3/atom. The value obtained for the uncorrected energy is -7.445 eV per atom. Its density of states at the Fermi level is 21.0 states/eV per cell.

```
data_Np2Co3NiGe4
_chemical_formula_sum 'Np2 Co3 Ni1 Ge4'
_space_group_name_H-M_alt 'P -4 m 2'
_space_group_IT_number 115
_cell_length_a 4.040
_cell_length_b 4.040
_cell_length_c 9.739
_cell_angle_alpha 90.00
_cell_angle_beta 90.00
_cell_angle_gamma 90.00
loop_
_space_group_symop_operation_xyz
'x,y,z'
'y,-x,-z'
'-x,-y,z'
'-y,x,-z'
'-x,y,z'
'-y,-x,-z'
'x,-y,z'
'y,x,-z'
loop_
_atom_site_label
_atom_site_type_symbol
_atom_site_fract_x
_atom_site_fract_y
_atom_site_fract_z
_atom_site_occupancy
Np1 Np 0.000 0.500 0.246 1
Co1 Co 0.000 0.500 0.869 1
Co2 Co 0.500 0.500 0.500 1
Ni1 Ni 0.000 0.000 0.500 1
Ge1 Ge 0.000 0.000 0.000 1
Ge2 Ge 0.000 0.500 0.631 1
Ge3 Ge 0.500 0.500 0.000 1
```


4.
SiTcMo3 | GGA-PBE | optimized geometry

Results
The magnetic moment comes out at 0.3174 μB/atom. The value obtained for the formation energy without anion corrections is 1721 meV per atom. As for the volume: 20.35 A^3/atom. The value obtained for the uncorrected energy is -7.936 eV per atom. Its density of states at the Fermi level is 5.9 states/eV per cell.

```
data_SiTcMo3
_chemical_formula_sum 'Si1 Tc1 Mo3'
_space_group_name_H-M_alt 'P m -3 m'
_space_group_IT_number 221
_space_group_name_Hall '-P 4 2 3'
_cell_length_a 4.669
_cell_length_b 4.669
_cell_length_c 4.669
_cell_angle_alpha 90.00
_cell_angle_beta 90.00
_cell_angle_gamma 90.00
loop_
_atom_site_label
_atom_site_type_symbol
_atom_site_fract_x
_atom_site_fract_y
_atom_site_fract_z
_atom_site_occupancy
Si1 Si 0.000 0.000 0.000 1
Tc1 Tc 0.500 0.500 0.500 1
Mo1 Mo 0.000 0.500 0.500 1
```


5.
AsRuNF2 | GGA-PBE | optimized geometry

Results
The magnetic moment comes out at 0.0975 μB/atom. The value obtained for the formation energy without anion corrections is 5 meV per atom. As for the volume: 13.63 A^3/atom. The value obtained for the uncorrected energy is -5.194 eV per atom. Its density of states at the Fermi level is 3.8 states/eV per cell.

```
data_AsRuNF2
_chemical_formula_sum 'As1 Ru1 N1 F2'
_space_group_name_H-M_alt 'P 4/m m m'
_space_group_IT_number 123
_space_group_name_Hall '-P 4 2'
_cell_length_a 4.265
_cell_length_b 4.265
_cell_length_c 3.747
_cell_angle_alpha 90.00
_cell_angle_beta 90.00
_cell_angle_gamma 90.00
loop_
_atom_site_label
_atom_site_type_symbol
_atom_site_fract_x
_atom_site_fract_y
_atom_site_fract_z
_atom_site_occupancy
As1 As 0.000 0.000 0.000 1
Ru1 Ru 0.500 0.500 0.500 1
N1 N 0.500 0.500 0.000 1
F1 F 0.000 0.500 0.500 1
```


6.
LiCa8Rh2 | GGA-PBE | optimized geometry

Results
The magnetic moment comes out at 0.0000 μB/atom. As for the volume: 31.71 A^3/atom. The value obtained for the uncorrected energy is -3.172 eV per atom. Its density of states at the Fermi level is 15.8 states/eV per cell.

```
data_LiCa8Rh2
_chemical_formula_sum 'Li2 Ca16 Rh4'
_space_group_name_H-M_alt 'C 1 m 1'
_space_group_IT_number 8
_cell_length_a 9.110
_cell_length_b 13.472
_cell_length_c 5.837
_cell_angle_alpha 90.00
_cell_angle_beta 103.09
_cell_angle_gamma 90.00
loop_
_space_group_symop_operation_xyz
'x,y,z'
'x,-y,z'
'x+1/2,y+1/2,z'
'x+1/2,-y+1/2,z'
loop_
_atom_site_label
_atom_site_type_symbol
_atom_site_fract_x
_atom_site_fract_y
_atom_site_fract_z
_atom_site_occupancy
Li1 Li 0.000 0.000 0.000 1
Ca1 Ca 0.000 0.251 0.003 1
Ca2 Ca 0.110 0.500 0.788 1
Ca3 Ca 0.198 0.137 0.585 1
Ca4 Ca 0.302 0.363 0.421 1
Ca5 Ca 0.391 0.000 0.218 1
Rh1 Rh 0.000 0.315 0.503 1
```


7.
TbGdAg2 | GGA-PBE | optimized geometry

Results
The magnetic moment comes out at 1.7915 μB/atom. As for the volume: 24.54 A^3/atom. The value obtained for the uncorrected energy is -6.414 eV per atom. Its density of states at the Fermi level is 3.5 states/eV per cell.

```
data_TbGdAg2
_chemical_formula_sum 'Tb1 Gd1 Ag2'
_space_group_name_H-M_alt 'P 4/m m m'
_space_group_IT_number 123
_space_group_name_Hall '-P 4 2'
_cell_length_a 5.189
_cell_length_b 5.189
_cell_length_c 3.645
_cell_angle_alpha 90.00
_cell_angle_beta 90.00
_cell_angle_gamma 90.00
loop_
_atom_site_label
_atom_site_type_symbol
_atom_site_fract_x
_atom_site_fract_y
_atom_site_fract_z
_atom_site_occupancy
Tb1 Tb 0.000 0.000 0.000 1
Gd1 Gd 0.500 0.500 0.000 1
Ag1 Ag 0.000 0.500 0.500 1
```


8.
Tm4PtSe5 | GGA-PBE | optimized geometry

Results
The magnetic moment comes out at 0.0000 μB/atom. The value obtained for the formation energy without anion corrections is -1567 meV per atom. As for the volume: 28.07 A^3/atom. The value obtained for the uncorrected energy is -5.702 eV per atom. Its density of states at the Fermi level is 0.0 states/eV per cell.

```
data_Tm4PtSe5
_chemical_formula_sum 'Tm8 Pt2 Se10'
_space_group_name_H-M_alt 'C 1 2/m 1'
_space_group_IT_number 12
_cell_length_a 17.535
_cell_length_b 4.026
_cell_length_c 8.253
_cell_angle_alpha 90.00
_cell_angle_beta 105.51
_cell_angle_gamma 90.00
loop_
_space_group_symop_operation_xyz
'x,y,z'
'-x,-y,-z'
'-x,y,-z'
'x,-y,z'
'x+1/2,y+1/2,z'
'-x+1/2,-y+1/2,-z'
'-x+1/2,y+1/2,-z'
'x+1/2,-y+1/2,z'
loop_
_atom_site_label
_atom_site_type_symbol
_atom_site_fract_x
_atom_site_fract_y
_atom_site_fract_z
_atom_site_occupancy
Tm1 Tm 0.003 0.000 0.261 1
Tm2 Tm 0.176 0.500 0.114 1
Pt1 Pt 0.000 0.500 0.000 1
Se1 Se 0.000 0.500 0.500 1
Se2 Se 0.162 0.000 0.859 1
Se3 Se 0.163 0.000 0.333 1
```


9.
CeTh6In | GGA-PBE | optimized geometry

Results
The magnetic moment comes out at 0.0000 μB/atom. As for the volume: 34.05 A^3/atom. The value obtained for the uncorrected energy is -6.365 eV per atom. Its density of states at the Fermi level is 25.5 states/eV per cell.

```
data_CeTh6In
_chemical_formula_sum 'Ce2 Th12 In2'
_space_group_name_H-M_alt 'C 1 2/m 1'
_space_group_IT_number 12
_cell_length_a 9.101
_cell_length_b 6.898
_cell_length_c 9.020
_cell_angle_alpha 90.00
_cell_angle_beta 105.83
_cell_angle_gamma 90.00
loop_
_space_group_symop_operation_xyz
'x,y,z'
'-x,-y,-z'
'-x,y,-z'
'x,-y,z'
'x+1/2,y+1/2,z'
'-x+1/2,-y+1/2,-z'
'-x+1/2,y+1/2,-z'
'x+1/2,-y+1/2,z'
loop_
_atom_site_label
_atom_site_type_symbol
_atom_site_fract_x
_atom_site_fract_y
_atom_site_fract_z
_atom_site_occupancy
Ce1 Ce 0.000 0.000 0.000 1
Th1 Th 0.144 0.500 0.932 1
Th2 Th 0.201 0.262 0.307 1
In1 In 0.000 0.500 0.500 1
```


10.
BeSi3 | GGA-PBE | optimized geometry

Results
The magnetic moment comes out at 0.0000 μB/atom. The value obtained for the formation energy without anion corrections is 417 meV per atom. As for the volume: 13.76 A^3/atom. The value obtained for the uncorrected energy is -4.582 eV per atom. Its density of states at the Fermi level is 1.6 states/eV per cell.

```
data_BeSi3
_chemical_formula_sum 'Be1 Si3'
_space_group_name_H-M_alt 'P m m 2'
_space_group_IT_number 25
_cell_length_a 3.354
_cell_length_b 4.424
_cell_length_c 3.711
_cell_angle_alpha 90.00
_cell_angle_beta 90.00
_cell_angle_gamma 90.00
loop_
_space_group_symop_operation_xyz
'x,y,z'
'-x,-y,z'
'-x,y,z'
'x,-y,z'
loop_
_atom_site_label
_atom_site_type_symbol
_atom_site_fract_x
_atom_site_fract_y
_atom_site_fract_z
_atom_site_occupancy
Be1 Be 0.000 0.000 0.000 1
Si1 Si 0.000 0.500 0.243 1
Si2 Si 0.500 0.000 0.468 1
Si3 Si 0.500 0.500 0.761 1
```


11.
Na2PrAg9 | GGA-PBE | optimized geometry

Results
The magnetic moment comes out at 0.0000 μB/atom. As for the volume: 21.50 A^3/atom. The value obtained for the uncorrected energy is -2.859 eV per atom. Its density of states at the Fermi level is 8.7 states/eV per cell.

```
data_Na2PrAg9
_chemical_formula_sum 'Na6 Pr3 Ag27'
_space_group_name_H-M_alt 'R -3 m'
_space_group_IT_number 166
_space_group_name_Hall '-R 3 2"'
_cell_length_a 5.6070
_cell_length_b 5.6070
_cell_length_c 28.4223
_cell_angle_alpha 90.00
_cell_angle_beta 90.00
_cell_angle_gamma 120.00
loop_
_atom_site_label
_atom_site_type_symbol
_atom_site_fract_x
_atom_site_fract_y
_atom_site_fract_z
_atom_site_occupancy
Na1 Na 0.0000 0.0000 0.1453 1
Pr1 Pr 0.0000 0.0000 0.0000 1
Ag1 Ag 0.0000 0.0000 0.3326 1
Ag2 Ag 0.0000 0.0000 0.5000 1
Ag3 Ag 0.9995 0.4998 0.0836 1
```


12.
PmGaSn | GGA-PBE | optimized geometry

Results
The magnetic moment comes out at 0.0000 μB/atom. As for the volume: 26.92 A^3/atom. The value obtained for the uncorrected energy is -4.336 eV per atom. Its density of states at the Fermi level is 8.2 states/eV per cell.

```
data_PmGaSn
_chemical_formula_sum 'Pm4 Ga4 Sn4'
_space_group_name_H-M_alt 'C m c m'
_space_group_IT_number 63
_space_group_name_Hall '-C 2c 2'
_cell_length_a 3.841
_cell_length_b 16.414
_cell_length_c 5.123
_cell_angle_alpha 90.00
_cell_angle_beta 90.00
_cell_angle_gamma 90.00
loop_
_atom_site_label
_atom_site_type_symbol
_atom_site_fract_x
_atom_site_fract_y
_atom_site_fract_z
_atom_site_occupancy
Pm1 Pm 0.000 0.174 0.250 1
Ga1 Ga 0.000 0.000 0.000 1
Sn1 Sn 0.000 0.372 0.250 1
```


Q: Which value of uncorrected energy does entry 5 give?
A: -5.194 eV per atom